*a*
Here is an optimized crystal structure of PmTmTh from Alexandria via LeMat-Bulk. Energies are from GGA-PBE.

Cell: 6.5939 6.5939 47.4107 Å, 90.00 90.00 120.00°
With the nearest neighbours (Å) after each atom.
Space group R-3m (No. 166, hexagonal axes)
Asymmetric unit:
Pm: 0.0196 0.5098 0.2782  2 Pm 3.10, 2 Th 3.23-3.30
Tm: 0.0000 0.0000 0.2339  6 Th 3.71-3.83, 6 Pm 3.91, 4 Tm 3.99-4.02
Tm: 0.0000 0.0000 0.3181  9 Pm 3.79-3.80, 3 Th 3.87, 4 Tm 3.99-4.07
Tm: 0.0000 0.0000 0.4602  4 Tm 3.77-4.02, 9 Th 3.80-3.91, 3 Pm 3.85
Th: 0.0000 0.0000 0.0000  6 Pm 3.30
Th: 0.0000 0.0000 0.1085  3 Pm 3.23, 3 Th 3.35
Th: 0.0000 0.5000 0.5000  6 Th 3.30-3.35

Results
N(E_F) ... 5.10 states/eV/f.u.
Total magnetic moment ... 0.0 μB per formula unit


*b*
Here is an optimized crystal structure of PmTmTh from Alexandria via LeMat-Bulk. Energies are from GGA-PBE.

Cell: 5.6308 7.0159 9.7492 Å, 90.00 90.00 90.00°
With the nearest neighbours (Å) after each atom.
Space group Immm (No. 71)
Asymmetric unit:
Pm: 0.0000 0.0000 0.1657  1 Pm 3.23, 4 Tm 3.26-3.51
Tm: 0.0000 0.5000 0.1664  1 Tm 3.25, 4 Pm 3.26-3.51
Th: 0.0000 0.2456 0.5000  2 Th 3.45-3.57, 6 Tm 3.68-3.71, 6 Pm 3.69-3.70

Results
N(E_F) ... 4.34 states/eV/f.u.
Total magnetic moment ... 0.0 μB per formula unit


*c*
Here is an optimized crystal structure of PmTmTh from Alexandria via LeMat-Bulk. Energies are from GGA-PBE.

Cell: 3.5921 3.5921 15.0364 Å, 90.00 90.00 90.00°
With the nearest neighbours (Å) after each atom.
Space group I4mm (No. 107)
Asymmetric unit:
Pm: 0.0000 0.0000 0.0000  4 Th 3.54, 4 Pm 3.59, 4 Tm 3.70
Tm: 0.0000 0.0000 0.6789  4 Th 3.47, 4 Tm 3.59, 4 Pm 3.70
Th: 0.0000 0.0000 0.3360  4 Tm 3.47, 4 Pm 3.54, 4 Th 3.59

Results
N(E_F) ... 4.17 states/eV/f.u.
Total magnetic moment ... 0.0 μB per formula unit


The most stable arrangement is *c*, and the next structure is 37 meV/atom less stable.


*a*
Here is an optimized crystal structure of Pm4Tm5Th from Alexandria via LeMat-Bulk. Energies are from GGA-PBE.

Cell: 10.2588 10.2588 6.2947 Å, 90.00 90.00 90.00°
With the nearest neighbours (Å) after each atom.
Space group I4 (No. 79)
Asymmetric unit:
Pm: 0.0443 0.6569 0.0000  4 Tm 3.22-3.54, 1 Pm 3.34
Tm: 0.0000 0.0000 0.2446  1 Th 2.95, 4 Tm 3.22
Tm: 0.1496 0.7739 0.5011  1 Tm 3.22, 4 Pm 3.22-3.54, 1 Th 3.28
Th: 0.0000 0.0000 0.7759  5 Tm 2.95-3.28

Results
N(E_F) ... 14.69 states/eV/f.u.
Total magnetic moment ... 0.0 μB per formula unit


*b*
Here is an optimized crystal structure of Pm4Tm5Th from Alexandria via LeMat-Bulk. Energies are from GGA-PBE.

Cell: 21.3601 3.6889 8.2797 Å, 90.00 97.57 90.00°
With the nearest neighbours (Å) after each atom.
Space group C2/m (No. 12)
Asymmetric unit:
Pm: 0.1099 0.0000 0.3294  6 Tm 3.43-3.71, 4 Pm 3.49-3.69, 2 Th 3.83
Pm: 0.1847 0.5000 0.0533  5 Tm 3.45-3.58, 6 Pm 3.49-3.69
Tm: 0.0000 0.5000 0.5000  4 Tm 3.29, 4 Pm 3.43
Tm: 0.0935 0.0000 0.7576  4 Tm 3.29-3.46, 3 Pm 3.45-3.61, 2 Th 3.53
Tm: 0.2171 0.5000 0.6410  6 Tm 3.42-3.69, 6 Pm 3.57-3.71
Th: 0.0000 0.5000 0.0000  4 Tm 3.53, 2 Th 3.69, 6 Pm 3.83-3.91

Results
N(E_F) ... 16.03 states/eV/f.u.
Total magnetic moment ... 0.0 μB per formula unit


The most stable arrangement is *b*, and the next structure is 233 meV/atom less stable.


*a*
Here is an optimized crystal structure of Pm2Tm3Th from Alexandria via LeMat-Bulk. Energies are from GGA-PBE.

Cell: 9.3972 12.3192 6.8274 Å, 90.00 90.00 90.00°
With the nearest neighbours (Å) after each atom.
Space group Cmc2_1 (No. 36)
Asymmetric unit:
Pm: 0.1730 0.1481 0.0000  6 Tm 3.22-3.51, 1 Pm 3.25, 2 Th 3.48-3.51
Tm: 0.0000 0.3525 0.2504  3 Th 3.41-3.60, 4 Pm 3.45-3.51, 4 Tm 3.55-3.72
Tm: 0.1721 0.1185 0.4990  4 Pm 3.22-3.44, 2 Tm 3.23-3.55, 1 Th 3.54
Th: 0.0000 0.3555 0.7491  7 Tm 3.41-3.75, 4 Pm 3.48-3.51

Results
N(E_F) ... 7.56 states/eV/f.u.
Total magnetic moment ... 0.0 μB per formula unit


*b*
Here is an optimized crystal structure of Pm2Tm3Th from Alexandria via LeMat-Bulk. Energies are from GGA-PBE.

Cell: 11.2729 5.0312 14.2470 Å, 90.00 108.48 90.00°
With the nearest neighbours (Å) after each atom.
Space group C2/m (No. 12)
Asymmetric unit:
Pm: 0.0015 0.0000 0.3734  2 Pm 3.50-3.62, 7 Tm 3.51-3.60, 3 Th 3.56
Pm: 0.0025 0.0000 0.1281  2 Pm 3.50-3.63, 8 Tm 3.52-3.60, 2 Th 3.53
Tm: 0.1669 0.5000 0.0430  1 Th 3.53, 6 Tm 3.55-3.59, 5 Pm 3.56-3.60
Tm: 0.1682 0.5000 0.7911  5 Pm 3.52-3.57, 3 Th 3.53-3.60, 4 Tm 3.54-3.59
Tm: 0.1706 0.5000 0.5433  5 Pm 3.51-3.60, 4 Tm 3.53-3.65, 3 Th 3.53-3.59
Th: 0.1687 0.5000 0.2909  7 Tm 3.53-3.60, 5 Pm 3.53-3.56

Results
N(E_F) ... 8.59 states/eV/f.u.
Total magnetic moment ... 0.0 μB per formula unit


The most stable arrangement is *b*, and the next structure is 197 meV/atom less stable.


*a*
Here is an optimized crystal structure of PmTm6Th from Alexandria via LeMat-Bulk. Energies are from GGA-PBE.

Cell: 4.9777 4.9777 9.9646 Å, 90.00 90.00 90.00°
With the nearest neighbours (Å) after each atom.
Space group P4/mmm (No. 123)
Asymmetric unit:
Pm: 0.0000 0.0000 0.0000  12 Tm 3.52-3.54
Tm: 0.0000 0.5000 0.2530  2 Th 3.50, 8 Tm 3.50-3.54, 2 Pm 3.54
Tm: 0.5000 0.5000 0.0000  4 Pm 3.52, 8 Tm 3.54
Tm: 0.5000 0.5000 0.5000  8 Tm 3.50, 4 Th 3.52
Th: 0.0000 0.0000 0.5000  12 Tm 3.50-3.52

Results
N(E_F) ... 12.28 states/eV/f.u.
Total magnetic moment ... 0.0 μB per formula unit


*b*
Here is an optimized crystal structure of PmTm6Th from Alexandria via LeMat-Bulk. Energies are from GGA-PBE.

Cell: 6.4972 6.6884 6.7630 Å, 61.90 78.15 89.60°
With the nearest neighbours (Å) after each atom.
Space group P-1 (No. 2)
Asymmetric unit:
Pm: 0.0000 0.0000 0.0000  2 Th 3.25, 4 Tm 3.36-3.45
Tm: 0.2329 0.5731 0.5190  6 Tm 3.22-3.59, 1 Th 3.41
Tm: 0.2516 0.5429 0.0050  5 Tm 3.22-3.55, 1 Pm 3.45, 1 Th 3.45
Tm: 0.2708 0.0905 0.4804  4 Tm 3.22-3.36, 1 Pm 3.36, 1 Th 3.60
Th: 0.5000 0.0000 0.0000  2 Pm 3.25, 6 Tm 3.41-3.60

Results
N(E_F) ... 15.01 states/eV/f.u.
Total magnetic moment ... 0.0 μB per formula unit


The most stable arrangement is *a*, and the next structure is 206 meV/atom less stable.